Entry from Alexandria: an optimized crystal structure of TbHoBe2 (PBE).

DFT formation energy: 0.1024 eV per atom

```
TbHoBe2
1.0
4.806 0.000 0.000
0.000 4.806 0.000
0.000 0.000 3.418
Tb Ho Be
1 1 2
direct
0.000 0.000 0.000 Tb
0.500 0.500 0.000 Ho
0.000 0.500 0.500 Be
0.500 0.000 0.500 Be
```